Record 1
A plane-wave DFT calculation with PBE was carried out for Ac4AgS7 after structural relaxation.

```
Ac4AgS7
1.0
4.761 0.000 1.583
2.088 8.310 1.670
-0.115 -0.132 8.293
Ac Ag S
4 1 7
Direct
0.586 0.217 0.610 Ac
0.414 0.783 0.390 Ac
0.728 0.666 0.877 Ac
0.272 0.334 0.123 Ac
0.000 0.000 0.000 Ag
0.789 0.861 0.562 S
0.211 0.139 0.438 S
0.076 0.722 0.126 S
0.924 0.278 0.874 S
0.362 0.555 0.722 S
0.500 0.000 0.000 S
0.638 0.445 0.278 S
```

Properties
For the energy relative to the elements, uncorrected, the calculation gives -1.79 eV per atom. Its total energy is -5.81 eV per atom.

---

Record 2
A plane-wave DFT calculation with PBE was carried out for LiNd2YSe4 after structural relaxation.

```
LiNd2YSe4
1.0
-3.370 -0.387 -2.367
4.126 -0.258 -5.833
-0.995 -6.652 2.503
Li Nd Y Se
1 2 1 4
Direct
0.500 0.500 0.000 Li
0.500 0.000 0.500 Nd
0.000 0.500 0.500 Nd
0.000 0.000 0.000 Y
0.500 0.250 0.234 Se
0.500 0.750 0.766 Se
0.000 0.259 0.767 Se
0.000 0.741 0.233 Se
```

Properties
For the energy relative to the elements, uncorrected, the calculation gives -1.76 eV per atom. Its total energy is -5.74 eV per atom.

---

Record 3
A plane-wave DFT calculation with PBE was carried out for TbAs2Rh5Pb after structural relaxation.

```
TbAs2Rh5Pb
1.0
4.074 0.000 0.000
0.000 4.074 0.000
0.000 0.000 10.949
Tb As Rh Pb
1 2 5 1
Direct
0.000 0.000 0.500 Tb
0.500 0.500 0.284 As
0.500 0.500 0.716 As
0.000 0.500 0.171 Rh
0.500 0.000 0.171 Rh
0.000 0.500 0.829 Rh
0.500 0.000 0.829 Rh
0.500 0.500 0.500 Rh
0.000 0.000 0.000 Pb
```

Properties
For the energy relative to the elements, the calculation gives -0.37 eV/atom. Its total energy is -6.42 eV per atom.

---

Record 4
A plane-wave DFT calculation with PBE was carried out for AlRuW2 after structural relaxation.

```
AlRuW2
1.0
2.756 0.012 0.000
-0.945 2.589 0.000
0.000 0.000 8.542
Ru Al W
1 1 2
Direct
0.500 0.500 0.742 Ru
0.000 0.000 0.511 Al
0.000 0.000 0.992 W
0.500 0.500 0.254 W
```

Properties
For the energy relative to the elements, the calculation gives -0.01 eV/atom. Its total energy is -9.74 eV per atom.

---

Record 5
A plane-wave DFT calculation with PBE was carried out for PaMnCrSi after structural relaxation.

```
PaMnCrSi
1.0
-0.170 2.592 3.545
-3.351 2.796 0.519
-3.012 -0.734 3.116
Cr Si Pa Mn
1 1 1 1
Direct
0.250 0.250 0.250 Cr
0.500 0.500 0.500 Si
0.000 0.000 0.000 Pa
0.750 0.750 0.750 Mn
```

Properties
For the energy relative to the elements, uncorrected, the calculation gives -0.13 eV per atom. Its total energy is -8.56 eV per atom.

---

Record 6
A plane-wave DFT calculation with PBE was carried out for Ac5LaPr2Ho after structural relaxation.

```
Ac5LaPr2Ho
1.0
-7.237 4.098 -1.475
-2.437 -1.439 7.958
9.364 7.756 -0.212
Ac La Pr Ho
10 2 4 2
Direct
0.915 0.415 0.269 Ac
0.646 0.146 0.731 Ac
0.085 0.585 0.731 Ac
0.146 0.085 0.731 Ac
0.585 0.646 0.731 Ac
0.854 0.915 0.269 Ac
0.415 0.354 0.269 Ac
0.354 0.854 0.269 Ac
0.500 0.500 0.000 Ac
0.000 0.000 0.000 Ac
0.250 0.250 0.500 La
0.750 0.750 0.500 La
0.123 0.377 0.000 Pr
0.623 0.123 0.000 Pr
0.377 0.877 0.000 Pr
0.877 0.623 0.000 Pr
0.250 0.750 0.500 Ho
0.750 0.250 0.500 Ho
```

Properties
For the energy relative to the elements, the calculation gives 0.28 eV/atom. Its total energy is -4.12 eV per atom.

---

Record 7
A plane-wave DFT calculation with PBE was carried out for BaLi3Pd3 after structural relaxation.

```
BaLi3Pd3
1.0
-1.435 2.385 -6.135
3.469 -5.062 -2.779
-5.594 -3.751 -0.150
Ba Pd Li
2 6 6
Direct
0.500 0.500 0.500 Ba
0.000 0.000 0.000 Ba
0.250 0.000 0.500 Pd
0.000 0.500 0.250 Pd
0.500 0.750 0.000 Pd
0.750 0.000 0.500 Pd
0.000 0.500 0.750 Pd
0.500 0.250 0.000 Pd
0.000 0.250 0.500 Li
0.000 0.750 0.500 Li
0.500 0.000 0.750 Li
0.750 0.500 0.000 Li
0.500 0.000 0.250 Li
0.250 0.500 0.000 Li
```

Properties
For the energy relative to the elements, the calculation gives -0.12 eV/atom. Its total energy is -3.44 eV per atom.

---

Record 8
A plane-wave DFT calculation with PBE was carried out for Cd5Hg12Br3 after structural relaxation.

```
Cd5Hg12Br3
1.0
15.388 0.000 0.000
-5.129 14.508 0.000
-5.129 -7.254 12.564
Br Cd Hg
12 20 48
Direct
0.750 0.375 0.125 Br
0.875 0.750 0.125 Br
0.375 0.750 0.625 Br
0.250 0.125 0.375 Br
0.875 0.125 0.250 Br
0.375 0.625 0.250 Br
0.625 0.375 0.750 Br
0.125 0.875 0.750 Br
0.750 0.875 0.625 Br
0.625 0.250 0.375 Br
0.125 0.250 0.875 Br
0.250 0.625 0.875 Br
0.125 0.375 0.250 Cd
0.000 0.500 0.000 Cd
0.000 0.000 0.000 Cd
0.375 0.250 0.125 Cd
0.500 0.000 0.500 Cd
0.500 0.500 0.000 Cd
0.125 0.750 0.375 Cd
0.750 0.125 0.875 Cd
0.750 0.625 0.375 Cd
0.375 0.125 0.750 Cd
0.625 0.875 0.250 Cd
0.500 0.500 0.500 Cd
0.500 0.000 0.000 Cd
0.000 0.000 0.500 Cd
0.250 0.375 0.625 Cd
0.250 0.875 0.125 Cd
0.000 0.500 0.500 Cd
0.875 0.250 0.625 Cd
0.625 0.750 0.875 Cd
0.875 0.625 0.750 Cd
0.720 0.118 0.047 Hg
0.327 0.547 0.428 Hg
0.953 0.382 0.280 Hg
0.547 0.220 0.118 Hg
0.601 0.720 0.673 Hg
0.953 0.572 0.173 Hg
0.327 0.780 0.399 Hg
0.072 0.899 0.118 Hg
0.572 0.953 0.673 Hg
0.720 0.601 0.173 Hg
0.780 0.453 0.382 Hg
0.827 0.928 0.047 Hg
0.118 0.720 0.547 Hg
0.382 0.428 0.101 Hg
0.101 0.928 0.382 Hg
0.399 0.118 0.572 Hg
0.101 0.173 0.220 Hg
0.453 0.673 0.072 Hg
0.827 0.899 0.280 Hg
0.118 0.399 0.072 Hg
0.382 0.953 0.780 Hg
0.572 0.618 0.399 Hg
0.928 0.827 0.547 Hg
0.780 0.327 0.899 Hg
0.428 0.382 0.601 Hg
0.072 0.173 0.453 Hg
0.220 0.673 0.101 Hg
0.173 0.101 0.720 Hg
0.618 0.047 0.220 Hg
0.882 0.601 0.928 Hg
0.547 0.327 0.928 Hg
0.601 0.882 0.428 Hg
0.899 0.827 0.780 Hg
0.899 0.072 0.618 Hg
0.882 0.280 0.453 Hg
0.173 0.072 0.953 Hg
0.618 0.572 0.899 Hg
0.428 0.047 0.327 Hg
0.280 0.399 0.827 Hg
0.220 0.547 0.618 Hg
0.928 0.101 0.882 Hg
0.673 0.220 0.601 Hg
0.453 0.780 0.882 Hg
0.047 0.428 0.827 Hg
0.399 0.280 0.327 Hg
0.047 0.618 0.720 Hg
0.673 0.453 0.572 Hg
0.280 0.882 0.953 Hg
```

Properties
For the energy relative to the elements, uncorrected, the calculation gives -0.05 eV per atom. Its total energy is -0.71 eV per atom.

---

Record 9
A plane-wave DFT calculation with PBE was carried out for Ca2NbNi2 after structural relaxation.

```
Ca2NbNi2
1.0
4.100 0.000 0.000
0.000 4.100 0.000
2.050 2.050 6.000
Ni Nb Ca
2 1 2
Direct
0.410 0.410 0.181 Ni
0.590 0.590 0.819 Ni
0.000 0.000 0.000 Nb
0.750 0.250 0.500 Ca
0.250 0.750 0.500 Ca
```

Properties
For the energy relative to the elements, the calculation gives 0.69 eV/atom. Its total energy is -4.44 eV per atom.

---

Record 10
A plane-wave DFT calculation with PBE was carried out for TiSnHg after structural relaxation.

```
TiSnHg
1.0
-0.143 2.865 -1.501
-3.257 1.490 3.154
4.644 0.684 0.861
Ti Hg Sn
1 1 1
Direct
0.289 0.333 0.667 Ti
0.011 0.000 0.000 Hg
0.700 0.667 0.333 Sn
```

Properties
For the energy relative to the elements, the calculation gives 0.12 eV/atom. Its total energy is -3.95 eV per atom.

---

Record 11
A plane-wave DFT calculation with PBE was carried out for Nd6TlCd5 after structural relaxation.

```
Nd6TlCd5
1.0
10.306 -1.004 0.000
1.971 6.108 0.000
0.985 3.054 5.677
Nd Tl Cd
6 1 5
Direct
0.740 0.090 0.341 Nd
0.260 0.569 0.341 Nd
0.231 0.276 0.000 Nd
0.769 0.724 0.000 Nd
0.740 0.431 0.659 Nd
0.260 0.910 0.659 Nd
0.000 0.000 0.000 Tl
0.500 0.140 0.721 Cd
0.000 0.309 0.382 Cd
0.500 0.500 0.000 Cd
0.000 0.691 0.618 Cd
0.500 0.860 0.279 Cd
```

Properties
For the energy relative to the elements, the calculation gives -0.15 eV/atom. Its total energy is -3.12 eV per atom.

---

Record 12
A plane-wave DFT calculation with PBE was carried out for Ag2TeCl after structural relaxation.

```
Ag2TeCl
1.0
3.562 0.045 0.000
-1.347 3.298 0.000
0.000 0.000 7.932
Te Ag Cl
1 2 1
Direct
0.500 0.500 0.750 Te
0.000 0.000 0.012 Ag
0.000 0.000 0.488 Ag
0.500 0.500 0.250 Cl
```

Properties
For the energy relative to the elements, uncorrected, the calculation gives -0.09 eV per atom. Its total energy is -2.76 eV per atom.

---

Record 13
A plane-wave DFT calculation with PBE was carried out for TaMoW after structural relaxation.

```
TaMoW
1.0
5.340 -0.007 0.001
3.411 4.104 0.003
-4.374 -2.049 2.268
Mo W Ta
1 1 1
Direct
0.003 0.003 0.000 Mo
0.663 0.663 0.000 W
0.334 0.334 0.000 Ta
```

Properties
For the energy relative to the elements, the calculation gives -0.16 eV/atom. Its total energy is -12.03 eV per atom.

---

Record 14
A plane-wave DFT calculation with PBE was carried out for Sb4TeW after structural relaxation.

```
Sb4TeW
1.0
0.000 4.348 4.348
4.348 0.000 4.348
4.348 4.348 0.000
Sb Te W
4 1 1
Direct
0.874 0.375 0.375 Sb
0.375 0.375 0.874 Sb
0.375 0.874 0.375 Sb
0.375 0.375 0.375 Sb
0.750 0.750 0.750 Te
0.000 0.000 0.000 W
```

Properties
For the energy relative to the elements, uncorrected, the calculation gives 1.14 eV per atom. Its total energy is -4.30 eV per atom.

---

Record 15
A plane-wave DFT calculation with PBE was carried out for Y4Ho3Se8 after structural relaxation.

```
Y4Ho3Se8
1.0
8.114 -0.114 -0.164
-3.958 7.082 0.132
-3.958 -2.335 6.688
Y Ho Se
4 3 8
Direct
0.500 0.000 0.000 Y
0.000 0.500 0.000 Y
0.000 0.000 0.000 Y
0.000 0.000 0.500 Y
0.500 0.500 0.000 Ho
0.500 0.000 0.500 Ho
0.500 0.500 0.500 Ho
0.508 0.255 0.255 Se
0.000 0.746 0.254 Se
0.002 0.255 0.255 Se
0.500 0.749 0.251 Se
0.500 0.251 0.749 Se
0.998 0.745 0.745 Se
0.000 0.254 0.746 Se
0.492 0.745 0.745 Se
```

Properties
For the energy relative to the elements, uncorrected, the calculation gives -1.83 eV per atom. Its total energy is -6.33 eV per atom.

---

Record 16
A plane-wave DFT calculation with PBE was carried out for CrAu2C after structural relaxation.

```
CrAu2C
1.0
-1.149 -2.527 0.447
2.319 -0.808 1.397
-2.282 3.677 5.913
Cr C Au
1 1 2
Direct
0.141 0.500 0.212 Cr
0.634 0.000 0.198 C
0.475 0.000 0.879 Au
0.818 0.500 0.565 Au
```

Properties
For the energy relative to the elements, the calculation gives 0.32 eV/atom. Its total energy is -6.03 eV per atom.

---

Record 17
A plane-wave DFT calculation with PBE was carried out for Cs4CdHg after structural relaxation.

```
Cs4CdHg
1.0
6.689 0.000 -0.002
0.000 6.692 -0.002
0.005 0.009 9.446
Cs Cd Hg
4 1 1
Direct
0.501 0.997 0.250 Cs
0.501 0.998 0.746 Cs
0.002 0.497 0.746 Cs
0.001 0.497 0.250 Cs
0.501 0.497 0.999 Cd
0.001 0.997 0.498 Hg
```

Properties
For the energy relative to the elements, the calculation gives -0.07 eV/atom. Its total energy is -0.84 eV per atom.

---

Record 18
A plane-wave DFT calculation with PBE was carried out for RbSeI4 after structural relaxation.

```
RbSeI4
1.0
-0.733 -3.090 6.964
-5.917 -0.617 -7.896
5.745 -9.407 -3.570
Rb Se I
2 2 8
Direct
0.988 0.692 0.750 Rb
0.012 0.308 0.250 Rb
0.991 0.143 0.750 Se
0.009 0.857 0.250 Se
0.593 0.805 0.750 I
0.407 0.195 0.250 I
0.389 0.201 0.750 I
0.611 0.799 0.250 I
0.004 0.630 0.075 I
0.996 0.370 0.575 I
0.004 0.630 0.425 I
0.996 0.370 0.925 I
```

Properties
For the energy relative to the elements, uncorrected, the calculation gives -0.41 eV per atom. Its total energy is -2.19 eV per atom.

---

Record 19
A plane-wave DFT calculation with PBE was carried out for Ba2Tl3Hg3 after structural relaxation.

```
Ba2Tl3Hg3
1.0
-3.271 -3.609 -2.868
0.807 -5.570 0.520
-6.786 -3.265 6.279
Ba Tl Hg
2 3 3
Direct
0.002 0.002 0.993 Ba
0.498 0.498 0.507 Ba
0.249 0.249 0.252 Tl
0.751 0.751 0.748 Tl
0.624 0.624 0.127 Tl
0.125 0.125 0.624 Hg
0.876 0.876 0.372 Hg
0.374 0.374 0.877 Hg
```

Properties
For the energy relative to the elements, the calculation gives -0.37 eV/atom. Its total energy is -1.85 eV per atom.

---

Record 20
A plane-wave DFT calculation with PBE was carried out for PrNd2YP4 after structural relaxation.

```
PrNd2YP4
1.0
-2.017 -3.518 -0.849
6.215 -3.571 0.029
-2.783 0.002 6.606
Pr Nd Y P
1 2 1 4
Direct
0.000 0.000 0.000 Pr
0.500 0.000 0.500 Nd
0.000 0.500 0.500 Nd
0.500 0.500 0.000 Y
0.500 0.254 0.248 P
0.500 0.746 0.752 P
0.000 0.256 0.755 P
0.000 0.744 0.245 P
```

Properties
For the energy relative to the elements, the calculation gives -1.55 eV/atom. Its total energy is -6.85 eV per atom.